First-principles (PBE) data for a relaxed Pm2CuNi4Sb3 crystal, as listed in Alexandria.

Unit cell a=4.330 b=4.330 c=9.999 alpha=90.00 beta=90.00 gamma=90.00
Space group P-4m2 (No. 115)
Unique sites:
Pm1 0.000 0.500 0.249 x2
Cu1 0.000 0.000 0.500 x1
Ni1 0.000 0.000 0.000 x1
Ni2 0.000 0.500 0.618 x2
Ni3 0.500 0.500 0.000 x1
Sb1 0.000 0.500 0.866 x2
Sb2 0.500 0.500 0.500 x1

Formation energy without anion corrections   -593 meV per atom